VASP calculation (PBE) on a relaxed structure of Ag3SnCl.

a b c (Å): 5.3002 5.3002 5.3002
angles (deg): 90.00 90.00 90.00
Atoms (fractional coordinates):
Ag (0.0000, 0.0000, 0.5000)
Ag (0.5000, 0.0000, 0.0000)
Ag (0.0000, 0.5000, 0.0000)
Cl (0.5000, 0.5000, 0.5000)
Sn (0.0000, 0.0000, 0.0000)

Symmetry: Pm-3m, No. 221
D(E_F), states/eV per atom: 1.6208
E above lowest polymorph, eV per atom: 0.000
Spin magnetization, μB per formula unit: 0.00
Formation energy from raw total energies, meV/atom: 477